1.
The following is a PBE calculation of an optimized crystal structure of CsTlAsPt, from Alexandria.

Geometry as CIF:
```
data_CsTlAsPt
_symmetry_space_group_name_H-M 'P 1'
_symmetry_Int_Tables_number 1
_cell_length_a 4.270
_cell_length_b 4.270
_cell_length_c 8.305
_cell_angle_alpha 90.00
_cell_angle_beta 104.89
_cell_angle_gamma 120.00
loop_
_symmetry_equiv_pos_as_xyz
'x,y,z'
loop_
_atom_site_label
_atom_site_type_symbol
_atom_site_fract_x
_atom_site_fract_y
_atom_site_fract_z
Cs1 Cs 0.393 0.061 0.455
Tl1 Tl 0.988 0.858 0.846
As1 As 0.502 0.616 0.118
Pt1 Pt 0.809 0.269 0.078
```

Output
Crystal system: trigonal
ΔH_f (0 K) in meV/atom: -361
Space-group type: R3m, No. 160

---

2.
The following is a PBE calculation of an optimized crystal structure of CaPu3Rh4, from Alexandria.

Geometry as CIF:
```
data_CaPu3Rh4
_symmetry_space_group_name_H-M 'P 1'
_symmetry_Int_Tables_number 1
_cell_length_a 4.833
_cell_length_b 4.833
_cell_length_c 8.393
_cell_angle_alpha 73.23
_cell_angle_beta 73.23
_cell_angle_gamma 60.04
loop_
_symmetry_equiv_pos_as_xyz
'x,y,z'
loop_
_atom_site_label
_atom_site_type_symbol
_atom_site_fract_x
_atom_site_fract_y
_atom_site_fract_z
Ca1 Ca 0.000 0.000 0.000
Rh1 Rh 0.872 0.872 0.382
Rh2 Rh 0.378 0.378 0.869
Rh3 Rh 0.128 0.128 0.618
Rh4 Rh 0.622 0.622 0.131
Pu1 Pu 0.251 0.251 0.245
Pu2 Pu 0.749 0.749 0.755
Pu3 Pu 0.500 0.500 0.500
```

Output
Crystal system: monoclinic
ΔH_f (0 K) in meV/atom: -397
Space-group type: C2/m, No. 12

---

3.
The following is a PBE calculation of an optimized crystal structure of AcTb5Pr3, from Alexandria.

Geometry as CIF:
```
data_AcTb5Pr3
_symmetry_space_group_name_H-M 'P 1'
_symmetry_Int_Tables_number 1
_cell_length_a 8.488
_cell_length_b 8.488
_cell_length_c 13.864
_cell_angle_alpha 59.29
_cell_angle_beta 59.29
_cell_angle_gamma 86.53
loop_
_symmetry_equiv_pos_as_xyz
'x,y,z'
loop_
_atom_site_label
_atom_site_type_symbol
_atom_site_fract_x
_atom_site_fract_y
_atom_site_fract_z
Ac1 Ac 0.978 0.978 0.781
Ac2 Ac 0.022 0.022 0.219
Tb1 Tb 0.713 0.220 0.386
Tb2 Tb 0.254 0.746 0.000
Tb3 Tb 0.648 0.648 0.106
Tb4 Tb 0.314 0.314 0.428
Tb5 Tb 0.686 0.686 0.572
Tb6 Tb 0.352 0.352 0.894
Tb7 Tb 0.220 0.713 0.386
Tb8 Tb 0.746 0.254 0.000
Tb9 Tb 0.287 0.780 0.614
Tb10 Tb 0.780 0.287 0.614
Pr1 Pr 0.668 0.668 0.822
Pr2 Pr 0.670 0.670 0.342
Pr3 Pr 0.000 0.000 0.000
Pr4 Pr 0.000 0.000 0.500
Pr5 Pr 0.332 0.332 0.178
Pr6 Pr 0.330 0.330 0.658
```

Output
Crystal system: monoclinic
ΔH_f (0 K) in meV/atom: 576
Space-group type: C2/m, No. 12

---

4.
The following is a PBE calculation of an optimized crystal structure of Pm3HoBi4, from Alexandria.

Geometry as CIF:
```
data_Pm3HoBi4
_symmetry_space_group_name_H-M 'P 1'
_symmetry_Int_Tables_number 1
_cell_length_a 4.551
_cell_length_b 7.881
_cell_length_c 7.881
_cell_angle_alpha 109.46
_cell_angle_beta 90.00
_cell_angle_gamma 90.00
loop_
_symmetry_equiv_pos_as_xyz
'x,y,z'
loop_
_atom_site_label
_atom_site_type_symbol
_atom_site_fract_x
_atom_site_fract_y
_atom_site_fract_z
Pm1 Pm 0.000 0.000 0.500
Pm2 Pm 0.500 0.500 0.500
Pm3 Pm 0.000 0.500 0.000
Ho1 Ho 0.500 0.000 0.000
Bi1 Bi 0.000 0.245 0.245
Bi2 Bi 0.500 0.753 0.247
Bi3 Bi 0.000 0.755 0.755
Bi4 Bi 0.500 0.247 0.753
```

Output
Crystal system: orthorhombic
ΔE to the lowest computed polymorph in eV per formula unit: 0.022
ΔH_f (0 K) in meV/atom: -911
Space-group type: Cmmm, No. 65

---

5.
The following is a PBE calculation of an optimized crystal structure of SrBeCo2, from Alexandria.

Geometry as CIF:
```
data_SrBeCo2
_symmetry_space_group_name_H-M 'P 1'
_symmetry_Int_Tables_number 1
_cell_length_a 4.072
_cell_length_b 4.077
_cell_length_c 5.535
_cell_angle_alpha 42.47
_cell_angle_beta 90.00
_cell_angle_gamma 90.00
loop_
_symmetry_equiv_pos_as_xyz
'x,y,z'
loop_
_atom_site_label
_atom_site_type_symbol
_atom_site_fract_x
_atom_site_fract_y
_atom_site_fract_z
Sr1 Sr 0.500 0.500 0.500
Co1 Co 0.000 0.000 0.000
Co2 Co 0.500 0.500 0.000
Be1 Be 0.000 0.000 0.500
```

Output
Crystal system: monoclinic
ΔH_f (0 K) in meV/atom: 874
Space-group type: P2/m, No. 10

---

6.
The following is a PBE calculation of an optimized crystal structure of Sr2Li3Rh2, from Alexandria.

Geometry as CIF:
```
data_Sr2Li3Rh2
_symmetry_space_group_name_H-M 'P 1'
_symmetry_Int_Tables_number 1
_cell_length_a 4.545
_cell_length_b 5.779
_cell_length_c 6.686
_cell_angle_alpha 105.83
_cell_angle_beta 90.00
_cell_angle_gamma 113.16
loop_
_symmetry_equiv_pos_as_xyz
'x,y,z'
loop_
_atom_site_label
_atom_site_type_symbol
_atom_site_fract_x
_atom_site_fract_y
_atom_site_fract_z
Sr1 Sr 0.617 0.235 0.352
Sr2 Sr 0.383 0.765 0.648
Li1 Li 0.299 0.599 0.114
Li2 Li 0.000 0.000 0.000
Li3 Li 0.701 0.401 0.886
Rh1 Rh 0.093 0.186 0.683
Rh2 Rh 0.907 0.814 0.317
```

Output
Crystal system: monoclinic
ΔH_f (0 K) in meV/atom: -162
Space-group type: C2/m, No. 12

---

7.
The following is a PBE calculation of an optimized crystal structure of AcCdB12, from Alexandria.

Geometry as CIF:
```
data_AcCdB12
_symmetry_space_group_name_H-M 'P 1'
_symmetry_Int_Tables_number 1
_cell_length_a 5.951
_cell_length_b 5.951
_cell_length_c 5.951
_cell_angle_alpha 60.00
_cell_angle_beta 60.00
_cell_angle_gamma 60.00
loop_
_symmetry_equiv_pos_as_xyz
'x,y,z'
loop_
_atom_site_label
_atom_site_type_symbol
_atom_site_fract_x
_atom_site_fract_y
_atom_site_fract_z
Ac1 Ac 0.500 0.500 0.500
Cd1 Cd 0.000 0.000 0.000
B1 B 0.899 0.899 0.601
B2 B 0.399 0.399 0.101
B3 B 0.601 0.899 0.601
B4 B 0.101 0.399 0.101
B5 B 0.899 0.601 0.601
B6 B 0.399 0.101 0.101
B7 B 0.899 0.601 0.899
B8 B 0.399 0.101 0.399
B9 B 0.601 0.899 0.899
B10 B 0.101 0.399 0.399
B11 B 0.601 0.601 0.899
B12 B 0.101 0.101 0.399
```

Output
Crystal system: cubic
ΔH_f (0 K) in meV/atom: -145
Space-group type: Fm-3m, No. 225

---

8.
The following is a PBE calculation of an optimized crystal structure of CaTaCr4, from Alexandria.

Geometry as CIF:
```
data_CaTaCr4
_symmetry_space_group_name_H-M 'P 1'
_symmetry_Int_Tables_number 1
_cell_length_a 5.027
_cell_length_b 5.027
_cell_length_c 5.027
_cell_angle_alpha 60.00
_cell_angle_beta 60.00
_cell_angle_gamma 60.00
loop_
_symmetry_equiv_pos_as_xyz
'x,y,z'
loop_
_atom_site_label
_atom_site_type_symbol
_atom_site_fract_x
_atom_site_fract_y
_atom_site_fract_z
Ca1 Ca 0.000 0.000 0.000
Ta1 Ta 0.750 0.750 0.750
Cr1 Cr 0.876 0.375 0.375
Cr2 Cr 0.375 0.375 0.876
Cr3 Cr 0.375 0.876 0.375
Cr4 Cr 0.375 0.375 0.375
```

Output
Crystal system: cubic
ΔH_f (0 K) in meV/atom: 428
Space-group type: F-43m, No. 216

---

9.
The following is a PBE calculation of an optimized crystal structure of SrScSb3, from Alexandria.

Geometry as CIF:
```
data_SrScSb3
_symmetry_space_group_name_H-M 'P 1'
_symmetry_Int_Tables_number 1
_cell_length_a 5.816
_cell_length_b 5.816
_cell_length_c 5.816
_cell_angle_alpha 90.00
_cell_angle_beta 90.00
_cell_angle_gamma 90.00
loop_
_symmetry_equiv_pos_as_xyz
'x,y,z'
loop_
_atom_site_label
_atom_site_type_symbol
_atom_site_fract_x
_atom_site_fract_y
_atom_site_fract_z
Sc1 Sc 0.500 0.500 0.500
Sb1 Sb 0.000 0.500 0.000
Sb2 Sb 0.000 0.000 0.500
Sb3 Sb 0.500 0.000 0.000
Sr1 Sr 0.000 0.000 0.000
```

Output
Crystal system: cubic
ΔE to the lowest computed polymorph in eV per formula unit: 5.835
Space-group type: Pm-3m, No. 221
Energy relative to the elements, uncorrected in meV/atom: 744

---

10.
The following is a PBE calculation of an optimized crystal structure of TlReSe, from Alexandria.

Geometry as CIF:
```
data_TlReSe
_symmetry_space_group_name_H-M 'P 1'
_symmetry_Int_Tables_number 1
_cell_length_a 3.204
_cell_length_b 4.763
_cell_length_c 9.396
_cell_angle_alpha 77.12
_cell_angle_beta 87.49
_cell_angle_gamma 85.87
loop_
_symmetry_equiv_pos_as_xyz
'x,y,z'
loop_
_atom_site_label
_atom_site_type_symbol
_atom_site_fract_x
_atom_site_fract_y
_atom_site_fract_z
Tl1 Tl 0.229 0.192 0.130
Tl2 Tl 0.771 0.808 0.870
Re1 Re 0.187 0.779 0.476
Re2 Re 0.813 0.221 0.524
Se1 Se 0.250 0.385 0.694
Se2 Se 0.750 0.615 0.306
```

Output
Crystal system: triclinic
ΔE to the lowest computed polymorph in eV per formula unit: 0.186
Space-group type: P-1, No. 2
Energy relative to the elements, uncorrected in meV/atom: 144

---

11.
The following is a PBE calculation of an optimized crystal structure of SmGaSn3, from Alexandria.

Geometry as CIF:
```
data_SmGaSn3
_symmetry_space_group_name_H-M 'P 1'
_symmetry_Int_Tables_number 1
_cell_length_a 6.447
_cell_length_b 6.313
_cell_length_c 12.658
_cell_angle_alpha 90.00
_cell_angle_beta 90.00
_cell_angle_gamma 90.00
loop_
_symmetry_equiv_pos_as_xyz
'x,y,z'
loop_
_atom_site_label
_atom_site_type_symbol
_atom_site_fract_x
_atom_site_fract_y
_atom_site_fract_z
Sm1 Sm 0.750 0.514 0.697
Sm2 Sm 0.250 0.486 0.303
Sm3 Sm 0.750 0.014 0.303
Sm4 Sm 0.250 0.986 0.697
Ga1 Ga 0.500 0.250 0.119
Ga2 Ga 0.000 0.750 0.881
Ga3 Ga 0.500 0.750 0.881
Ga4 Ga 0.000 0.250 0.119
Sn1 Sn 0.000 0.250 0.501
Sn2 Sn 0.500 0.750 0.499
Sn3 Sn 0.000 0.750 0.499
Sn4 Sn 0.500 0.250 0.501
Sn5 Sn 0.250 0.151 0.937
Sn6 Sn 0.750 0.849 0.063
Sn7 Sn 0.250 0.651 0.063
Sn8 Sn 0.750 0.349 0.937
Sn9 Sn 0.250 0.480 0.737
Sn10 Sn 0.750 0.520 0.263
Sn11 Sn 0.250 0.980 0.263
Sn12 Sn 0.750 0.020 0.737
```

Output
Crystal system: orthorhombic
ΔH_f (0 K) in meV/atom: -339
Space-group type: Pbcm, No. 57

---

12.
The following is a PBE calculation of an optimized crystal structure of HfTi2Ga2, from Alexandria.

Geometry as CIF:
```
data_HfTi2Ga2
_symmetry_space_group_name_H-M 'P 1'
_symmetry_Int_Tables_number 1
_cell_length_a 5.790
_cell_length_b 5.790
_cell_length_c 7.410
_cell_angle_alpha 99.28
_cell_angle_beta 99.28
_cell_angle_gamma 123.25
loop_
_symmetry_equiv_pos_as_xyz
'x,y,z'
loop_
_atom_site_label
_atom_site_type_symbol
_atom_site_fract_x
_atom_site_fract_y
_atom_site_fract_z
Hf1 Hf 0.903 0.597 0.750
Hf2 Hf 0.097 0.403 0.250
Ti1 Ti 0.269 0.958 0.557
Ti2 Ti 0.458 0.769 0.057
Ti3 Ti 0.731 0.042 0.443
Ti4 Ti 0.542 0.231 0.943
Ga1 Ga 0.182 0.318 0.750
Ga2 Ga 0.370 0.130 0.250
Ga3 Ga 0.630 0.870 0.750
Ga4 Ga 0.818 0.682 0.250
```

Output
Crystal system: monoclinic
ΔE to the lowest computed polymorph in eV per formula unit: 2.611
ΔH_f (0 K) in meV/atom: 104
Space-group type: C2/c, No. 15

---

In the order shown, the computed DOS at the Fermi energy values come out to 2.92; 27.82; 28.63; 1.20; 7.40; 2.93; 3.17; 7.04; 6.06; 2.48; 8.82; 8.77 states/eV/cell.